<P>
4
Lattice="3.162 0.000 0.000 0.000 3.162 0.000 0.000 0.000 8.604" Properties=species:S:1:pos:R:3 comment="PBE ZrTiTl2, optimized geometry" dos_ef_per_ev_atom=0.979 sg=P4/mmm rho_g_cm3=10.58 magnetic_moment_mub_per_fu=0.0 pbc="T T T"
Zr 1.581 1.581 4.302
Tl 0.000 0.000 2.048
Tl 0.000 0.000 6.556
Ti 1.581 1.581 0.000

<Q>
4
Lattice="0.000 3.525 3.525 3.525 0.000 3.525 3.525 3.525 0.000" Properties=species:S:1:pos:R:3 comment="PBE ZrTiTl2, optimized geometry" dos_ef_per_ev_atom=1.020 sg=Fm-3m rho_g_cm3=10.39 magnetic_moment_mub_per_fu=1.5 pbc="T T T"
Tl 5.287 5.287 5.287
Tl 1.762 1.762 1.762
Ti 0.000 0.000 0.000
Zr 3.525 3.525 3.525

Energy above the most stable structure, in kJ/mol of atoms: <P> 0.0; <Q> 12.4

<P>
4
Lattice="3.141 0.000 0.000 1.570 2.720 0.000 1.570 0.907 9.293" Properties=species:S:1:pos:R:3 comment="PBE TmTi2W, optimized geometry" dos_ef_per_ev_atom=1.371 sg=R-3m rho_g_cm3=9.38 magnetic_moment_mub_per_fu=0.0 pbc="T T T"
Ti 1.570 0.907 1.940
Ti 4.711 2.720 7.353
Tm 3.141 1.813 4.647
W 0.000 0.000 0.000

<Q>
4
Lattice="3.315 0.000 0.000 0.000 3.315 0.000 0.000 0.000 7.097" Properties=species:S:1:pos:R:3 comment="PBE TmTi2W, optimized geometry" dos_ef_per_ev_atom=1.282 sg=P4/mmm rho_g_cm3=9.55 magnetic_moment_mub_per_fu=0.0 pbc="T T T"
W 1.657 1.657 0.000
Ti 0.000 0.000 1.397
Ti 0.000 0.000 5.700
Tm 1.657 1.657 3.549

Energy above the most stable structure, in kJ/mol of atoms: <P> 18.6; <Q> 0.0

<P>
4
Lattice="3.372 0.000 0.000 0.000 3.372 0.000 0.000 0.000 9.487" Properties=species:S:1:pos:R:3 comment="PBE YTm2Ti, optimized geometry" dos_ef_per_ev_atom=1.675 sg=P4/mmm rho_g_cm3=7.31 magnetic_moment_mub_per_fu=0.0 pbc="T T T"
Tm 0.000 0.000 7.429
Tm 0.000 0.000 2.058
Y 1.686 1.686 4.743
Ti 1.686 1.686 0.000

<Q>
4
Lattice="3.338 0.000 0.000 1.669 2.891 0.000 1.669 0.964 11.608" Properties=species:S:1:pos:R:3 comment="PBE YTm2Ti, optimized geometry" dos_ef_per_ev_atom=1.464 sg=R-3m rho_g_cm3=7.04 magnetic_moment_mub_per_fu=1.9 pbc="T T T"
Tm 1.669 0.964 8.693
Tm 5.007 2.891 2.915
Ti 0.000 0.000 0.000
Y 3.338 1.927 5.804

Energy above the most stable structure, in kJ/mol of atoms: <P> 0.0; <Q> 25.8